# 1
The following is a DFT calculation (PBE-GGA) of a relaxed TcHgSb2 crystal.

Structure (POSCAR):
```
TcHgSb2
1.0
6.1366 0.0000 0.0000
0.0000 7.9374 0.0000
-0.0220 0.0000 3.5342
Tc Hg Sb
2 2 4
direct
0.0000 0.0000 0.0000
0.5000 0.5000 0.0000
0.0000 0.5000 0.0000
0.5000 0.0000 0.0000
0.2500 0.2500 0.5000
0.2500 0.7500 0.5000
0.7500 0.2500 0.5000
0.7500 0.7500 0.5000
```

Energy relative to the elements, uncorrected (eV per atom): 0.568
Volume (Å³ per atom): 21.5

---

# 2
The following is a DFT calculation (PBE-GGA) of a relaxed TcHgSb2 crystal.

Structure (POSCAR):
```
TcHgSb2
1.0
4.9169 0.0000 0.0000
0.0000 4.9169 0.0000
0.0000 0.0000 3.5492
Tc Hg Sb
1 1 2
direct
0.0000 0.0000 0.0000
0.5000 0.5000 0.0000
0.0000 0.5000 0.5000
0.5000 0.0000 0.5000
```

Energy relative to the elements, uncorrected (eV per atom): 0.596
Volume (Å³ per atom): 21.5

---

# 3
The following is a DFT calculation (PBE-GGA) of a relaxed Tc2HgSb2 crystal.

Structure (POSCAR):
```
Tc2HgSb2
1.0
7.6322 0.0000 0.0000
0.0000 7.6322 0.0000
0.0000 0.0000 3.2884
Tc Hg Sb
4 2 4
direct
0.1450 0.3550 0.0000
0.3550 0.8550 0.0000
0.6450 0.1450 0.0000
0.8550 0.6450 0.0000
0.0000 0.0000 0.0000
0.5000 0.5000 0.0000
0.1495 0.6495 0.5000
0.3505 0.1495 0.5000
0.6495 0.8505 0.5000
0.8505 0.3505 0.5000
```

Energy relative to the elements, uncorrected (eV per atom): 0.194
Energy relative to the lowest polymorph listed for this composition (meV per atom): 0
Volume (Å³ per atom): 19.2

---

# 4
The following is a DFT calculation (PBE-GGA) of a relaxed TcHgSb crystal.

Structure (POSCAR):
```
TcHgSb
1.0
3.2376 0.0000 0.0000
-1.6188 2.8039 0.0000
0.0000 0.0000 7.0943
Tc Hg Sb
1 1 1
direct
0.0000 0.0000 0.0000
0.6667 0.3333 0.3189
0.3333 0.6667 0.7325
```

Energy relative to the elements, uncorrected (eV per atom): 0.352
Energy relative to the lowest polymorph listed for this composition (meV per atom): 12
Volume (Å³ per atom): 21.5

---

# 5
The following is a DFT calculation (PBE-GGA) of a relaxed TcHgSb crystal.

Structure (POSCAR):
```
TcHgSb
1.0
4.4852 0.0000 0.0000
-2.2426 3.8843 0.0000
0.0000 0.0000 3.6227
Tc Hg Sb
1 1 1
direct
0.0000 0.0000 0.0000
0.6667 0.3333 0.5000
0.3333 0.6667 0.0000
```

Energy relative to the elements, uncorrected (eV per atom): 0.544
Energy relative to the lowest polymorph listed for this composition (meV per atom): 204
Volume (Å³ per atom): 21.0

---

# 6
The following is a DFT calculation (PBE-GGA) of a relaxed TcHgSb2 crystal.

Structure (POSCAR):
```
TcHgSb2
1.0
3.6878 0.0000 0.0000
0.0000 4.7765 0.0000
0.0000 0.0000 4.9826
Tc Hg Sb
1 1 2
direct
0.0000 0.0000 0.0000
0.5000 0.0000 0.5000
0.0000 0.5000 0.5000
0.5000 0.5000 0.0000
```

Energy relative to the elements, uncorrected (eV per atom): 0.676
Volume (Å³ per atom): 21.9

---

# 7
The following is a DFT calculation (PBE-GGA) of a relaxed TcHgSb2 crystal.

Structure (POSCAR):
```
TcHgSb2
1.0
3.2573 0.0000 0.0000
0.0000 3.2573 0.0000
0.0000 0.0000 9.0155
Tc Hg Sb
1 1 2
direct
0.0000 0.0000 0.0000
0.0000 0.0000 0.5000
0.5000 0.5000 0.1807
0.5000 0.5000 0.8193
```

Energy relative to the elements, uncorrected (eV per atom): 0.013
Volume (Å³ per atom): 23.9

---

# 8
The following is a DFT calculation (PBE-GGA) of a relaxed TcHgSb crystal.

Structure (POSCAR):
```
TcHgSb
1.0
3.7055 0.0000 0.0000
0.0000 3.7055 0.0000
0.0000 0.0000 10.8442
Tc Hg Sb
2 2 2
direct
0.2500 0.2500 0.0541
0.7500 0.7500 0.9459
0.2500 0.7500 0.5000
0.7500 0.2500 0.5000
0.2500 0.2500 0.8110
0.7500 0.7500 0.1890
```

Energy relative to the elements, uncorrected (eV per atom): 0.542
Energy relative to the lowest polymorph listed for this composition (meV per atom): 202
Volume (Å³ per atom): 24.8

---

# 9
The following is a DFT calculation (PBE-GGA) of a relaxed TcHgSb2 crystal.

Structure (POSCAR):
```
TcHgSb2
1.0
10.2918 0.0000 0.0000
0.0000 3.1726 0.0000
-2.4620 0.0000 6.0653
Tc Hg Sb
2 2 4
direct
0.0000 0.0000 0.0000
0.5000 0.5000 0.0000
0.2354 0.5000 0.9987
0.7354 0.0000 0.9987
0.0746 0.5000 0.3583
0.3949 0.0000 0.6407
0.5746 0.0000 0.3583
0.8949 0.5000 0.6407
```

Energy relative to the elements, uncorrected (eV per atom): 0.243
Volume (Å³ per atom): 24.8

---

# 10
The following is a DFT calculation (PBE-GGA) of a relaxed TcHgSb2 crystal.

Structure (POSCAR):
```
TcHgSb2
1.0
3.3182 0.0000 0.0000
-1.6591 2.8736 0.0000
0.0000 0.0000 28.7616
Tc Hg Sb
3 3 6
direct
0.0000 0.0000 0.0000
0.3333 0.6667 0.6667
0.6667 0.3333 0.3333
0.0000 0.0000 0.7432
0.3333 0.6667 0.4099
0.6667 0.3333 0.0766
0.0000 0.0000 0.2703
0.0000 0.0000 0.5088
0.3333 0.6667 0.1755
0.3333 0.6667 0.9370
0.6667 0.3333 0.6036
0.6667 0.3333 0.8422
```

Energy relative to the elements, uncorrected (eV per atom): 0.366
Volume (Å³ per atom): 22.9

---

# 11
The following is a DFT calculation (PBE-GGA) of a relaxed TcHgSb2 crystal.

Structure (POSCAR):
```
TcHgSb2
1.0
3.4024 0.0000 0.0000
0.0000 5.3467 0.0000
0.0000 0.0000 10.4232
Tc Hg Sb
2 2 4
direct
0.0000 0.0000 0.0000
0.5000 0.5000 0.0000
0.0000 0.5000 0.2200
0.5000 0.0000 0.2200
0.0000 0.0000 0.4717
0.0000 0.5000 0.8096
0.5000 0.0000 0.8096
0.5000 0.5000 0.4717
```

Energy relative to the elements, uncorrected (eV per atom): 0.474
Volume (Å³ per atom): 23.7

---

# 12
The following is a DFT calculation (PBE-GGA) of a relaxed TcHgSbTe2 crystal.

Structure (POSCAR):
```
TcHgSbTe2
1.0
5.2889 0.0000 0.0000
0.0000 5.2889 0.0000
0.0000 0.0000 5.2297
Tc Hg Sb Te
1 1 1 2
direct
0.0000 0.0000 0.0000
0.5000 0.5000 0.5000
0.0000 0.0000 0.5000
0.0000 0.5000 0.0000
0.5000 0.0000 0.0000
```

Energy relative to the elements, uncorrected (eV per atom): 0.433
Energy relative to the lowest polymorph listed for this composition (meV per atom): 0
Volume (Å³ per atom): 29.3

---

# 13
The following is a DFT calculation (PBE-GGA) of a relaxed TcHgSb2Te crystal.

Structure (POSCAR):
```
TcHgSb2Te
1.0
5.1132 0.0000 0.0000
0.0000 5.1132 0.0000
0.0000 0.0000 5.5555
Tc Hg Sb Te
1 1 2 1
direct
0.0000 0.0000 0.0000
0.5000 0.5000 0.5000
0.0000 0.5000 0.0000
0.5000 0.0000 0.0000
0.0000 0.0000 0.5000
```

Energy relative to the elements, uncorrected (eV per atom): 0.423
Energy relative to the lowest polymorph listed for this composition (meV per atom): 0
Volume (Å³ per atom): 29.0

---

# 14
The following is a DFT calculation (PBE-GGA) of a relaxed TcHgSb2Te crystal.

Structure (POSCAR):
```
TcHgSb2Te
1.0
5.4870 0.0000 0.0000
0.0000 5.4870 0.0000
0.0000 0.0000 5.5937
Tc Hg Sb Te
1 1 2 1
direct
0.0000 0.0000 0.0000
0.5000 0.5000 0.5000
0.0000 0.5000 0.5000
0.5000 0.0000 0.5000
0.5000 0.5000 0.0000
```

Energy relative to the elements, uncorrected (eV per atom): 1.468
Energy relative to the lowest polymorph listed for this composition (meV per atom): 1045
Volume (Å³ per atom): 33.7

---

# 15
The following is a DFT calculation (PBE-GGA) of a relaxed TcHgSbTe2 crystal.

Structure (POSCAR):
```
TcHgSbTe2
1.0
5.5882 0.0000 0.0000
0.0000 5.5882 0.0000
0.0000 0.0000 5.4936
Tc Hg Sb Te
1 1 1 2
direct
0.0000 0.0000 0.0000
0.5000 0.5000 0.5000
0.5000 0.5000 0.0000
0.0000 0.5000 0.5000
0.5000 0.0000 0.5000
```

Energy relative to the elements, uncorrected (eV per atom): 1.404
Energy relative to the lowest polymorph listed for this composition (meV per atom): 971
Volume (Å³ per atom): 34.3

---

# 16
The following is a DFT calculation (PBE-GGA) of a relaxed Hg3SbTe crystal.

Structure (POSCAR):
```
Hg3SbTe
1.0
5.5837 0.0000 0.0000
0.0000 5.5837 0.0000
0.0000 0.0000 5.5837
Hg Sb Te
3 1 1
direct
0.0000 0.0000 0.5000
0.0000 0.5000 0.0000
0.5000 0.0000 0.0000
0.0000 0.0000 0.0000
0.5000 0.5000 0.5000
```

Energy relative to the elements, uncorrected (eV per atom): 0.253
Energy relative to the lowest polymorph listed for this composition (meV per atom): 0
Volume (Å³ per atom): 34.8

---

# 17
The following is a DFT calculation (PBE-GGA) of a relaxed Hg2SbTe crystal.

Structure (POSCAR):
```
Hg2SbTe
1.0
5.3084 0.0000 0.0000
0.0000 5.3084 0.0000
0.0000 0.0000 7.7893
Hg Sb Te
4 2 2
direct
0.0000 0.0000 0.0000
0.0000 0.5000 0.2500
0.5000 0.0000 0.7500
0.5000 0.5000 0.5000
0.0000 0.5000 0.7500
0.5000 0.0000 0.2500
0.0000 0.0000 0.5000
0.5000 0.5000 0.0000
```

Energy relative to the elements, uncorrected (eV per atom): 0.177
Energy relative to the lowest polymorph listed for this composition (meV per atom): 161
Volume (Å³ per atom): 27.4

---

# 18
The following is a DFT calculation (PBE-GGA) of a relaxed HgSbTe crystal.

Structure (POSCAR):
```
HgSbTe
1.0
4.2617 0.0000 0.0000
-2.1309 3.6908 0.0000
0.0000 0.0000 5.6508
Hg Sb Te
1 1 1
direct
0.0000 0.0000 0.0000
0.6667 0.3333 0.3179
0.3333 0.6667 0.6526
```

Energy relative to the elements, uncorrected (eV per atom): 0.049
Energy relative to the lowest polymorph listed for this composition (meV per atom): 9
Volume (Å³ per atom): 29.6

---

# 19
The following is a DFT calculation (PBE-GGA) of a relaxed Hg2SbTe crystal.

Structure (POSCAR):
```
Hg2SbTe
1.0
3.9585 0.0000 0.0000
0.0000 5.2285 0.0000
0.0000 0.0000 5.2688
Hg Sb Te
2 1 1
direct
0.0000 0.0000 0.0000
0.5000 0.0000 0.5000
0.0000 0.5000 0.5000
0.5000 0.5000 0.0000
```

Energy relative to the elements, uncorrected (eV per atom): 0.165
Energy relative to the lowest polymorph listed for this composition (meV per atom): 149
Volume (Å³ per atom): 27.3

---

# 20
The following is a DFT calculation (PBE-GGA) of a relaxed Hg3SbTe4 crystal.

Structure (POSCAR):
```
Hg3SbTe4
1.0
2.3819 1.3752 15.9871
-2.3819 1.3752 15.9871
0.0000 -2.7503 15.9871
Hg Sb Te
3 1 4
direct
0.0000 0.0000 0.0000
0.2550 0.2550 0.2550
0.5096 0.5096 0.5096
0.7561 0.7561 0.7561
0.0641 0.0641 0.0641
0.3167 0.3167 0.3167
0.5701 0.5701 0.5701
0.8229 0.8229 0.8229
```

Energy relative to the elements, uncorrected (eV per atom): -0.011
Energy relative to the lowest polymorph listed for this composition (meV per atom): 42
Volume (Å³ per atom): 39.3